A plane-wave DFT calculation with GGA+U was carried out for a geometry-optimized Ba2Cd3NiF12 structure.

space-group type	No. 166
crystal system	trigonal

Lattice parameters (Å, degrees): 7.5841 7.5841 7.5841 58.77 58.77 58.77
Atoms (fractional coordinates):
1 Ba 0.1339 0.1339 0.1339
2 Ba 0.8661 0.8661 0.8661
3 Cd 0.0000 0.5000 0.5000
4 Cd 0.5000 0.0000 0.5000
5 Cd 0.5000 0.5000 0.0000
6 Ni 0.5000 0.5000 0.5000
7 F 0.1256 0.1256 0.6026
8 F 0.1256 0.6026 0.1256
9 F 0.1769 0.5841 0.5841
10 F 0.3974 0.8744 0.8744
11 F 0.4159 0.4159 0.8231
12 F 0.4159 0.8231 0.4159
13 F 0.5841 0.1769 0.5841
14 F 0.5841 0.5841 0.1769
15 F 0.6026 0.1256 0.1256
16 F 0.8231 0.4159 0.4159
17 F 0.8744 0.3974 0.8744
18 F 0.8744 0.8744 0.3974



A plane-wave DFT calculation with GGA+U was carried out for a geometry-optimized Ba2CdNiF structure.

space-group type	No. 123
crystal system	tetragonal

Lattice parameters (Å, degrees): 5.6142 5.6142 4.6467 90.00 90.00 90.00
Atoms (fractional coordinates):
1 Ba 0.0000 0.5000 0.0000
2 Ba 0.5000 0.0000 0.0000
3 Cd 0.0000 0.0000 0.5000
4 Ni 0.5000 0.5000 0.5000
5 F 0.5000 0.5000 0.0000



A plane-wave DFT calculation with GGA+U was carried out for a geometry-optimized BaCdNiF6 structure.

space-group type	No. 163
crystal system	trigonal

Lattice parameters (Å, degrees): 5.6952 5.6952 11.0628 90.00 90.00 120.00
Atoms (fractional coordinates):
1 Ba 0.0000 0.0000 0.0000
2 Ba 0.0000 0.0000 0.5000
3 Cd 0.3333 0.6667 0.2500
4 Cd 0.6667 0.3333 0.7500
5 Ni 0.3333 0.6667 0.7500
6 Ni 0.6667 0.3333 0.2500
7 F 0.0295 0.3823 0.6451
8 F 0.0295 0.6472 0.8549
9 F 0.3528 0.3823 0.8549
10 F 0.3528 0.9705 0.6451
11 F 0.3823 0.0295 0.1451
12 F 0.3823 0.3528 0.3549
13 F 0.6177 0.6472 0.6451
14 F 0.6177 0.9705 0.8549
15 F 0.6472 0.0295 0.3549
16 F 0.6472 0.6177 0.1451
17 F 0.9705 0.3528 0.1451
18 F 0.9705 0.6177 0.3549



Number 1: M_tot 2.00 μB per formula unit, total DFT energy (no corrections) -78.490 eV per formula unit. Number 2: M_tot 1.02 μB per formula unit, total DFT energy (no corrections) -13.365 eV per formula unit. Number 3: M_tot 1.92 μB per formula unit, total DFT energy (no corrections) -41.389 eV per formula unit.